Entry 1:
Density functional theory data (PBE) for an optimized crystal structure of Sb2AsCl.

a b c (Å): 6.2767 6.2767 6.9890
angles (deg): 74.96 74.96 35.19
Closest atoms and distances in Å follow each position.
Element x y z (fractional)
Sb (0.9532, 0.9532, 0.0811)  2 As 2.71
Sb (0.2888, 0.2888, 0.4073)  1 As 2.60, 2 Cl 2.74
As (0.5150, 0.5150, 0.3098)  3 Sb 2.60-2.71
Cl (0.7430, 0.7430, 0.7019)  2 Sb 2.74

## Properties
Density, kg/m³: 3849
Relative energy among the computed polymorphs, kJ per mole of atoms: 1.5
Formation energy from raw total energies, eV per atom: -0.1335

---

Entry 2:
Density functional theory data (PBE) for an optimized crystal structure of SbAs2Cl.

a b c (Å): 4.9415 4.9415 4.9415
angles (deg): 120.13 120.13 89.78
Closest atoms and distances in Å follow each position.
Element x y z (fractional)
Sb (0.7500, 0.2500, 0.5000)  4 As 3.02, 4 Cl 3.02
As (0.0000, 0.0000, 0.0000)  4 As 3.02, 4 Sb 3.02
As (0.2500, 0.7500, 0.5000)  4 As 3.02, 4 Cl 3.02
Cl (0.5000, 0.5000, 0.0000)  4 Sb 3.02, 4 As 3.02

## Properties
Density, kg/m³: 5988
Relative energy among the computed polymorphs, kJ per mole of atoms: 36.8
Formation energy from raw total energies, eV per atom: 0.2574